Version w
ZrSi2W: relaxed, GGA-PBE.

Its space group is No. 12.

a = 4.483 Å, b = 4.483 Å, c = 5.100 Å
α = 100.98°, β = 100.98°, γ = 42.98°
Atoms (fractional coordinates):
1 Zr 0.000 0.000 0.000
2 Si 0.235 0.235 0.676
3 Si 0.765 0.765 0.324
4 W 0.500 0.500 0.500

Version x
ZrSi2W: relaxed, GGA-PBE.

Its space group is No. 38.

a = 3.973 Å, b = 5.008 Å, c = 5.008 Å
α = 39.58°, β = 90.00°, γ = 90.00°
Atoms (fractional coordinates):
1 Zr 0.000 0.000 0.000
2 Si 0.000 0.726 0.726
3 Si 0.500 0.574 0.574
4 W 0.500 0.288 0.288

Tell me which of them is the least stable. Sure, it is version w.

Version w
ZrSi2W: relaxed, GGA-PBE.

Its space group is No. 122.

a = 9.584 Å, b = 9.584 Å, c = 9.584 Å
α = 156.05°, β = 156.05°, γ = 34.13°
Atoms (fractional coordinates):
1 Zr 0.000 0.000 0.000
2 Zr 0.750 0.250 0.500
3 Si 0.181 0.625 0.056
4 Si 0.375 0.431 0.556
5 Si 0.569 0.125 0.944
6 Si 0.875 0.819 0.444
7 W 0.250 0.750 0.500
8 W 0.500 0.500 0.000

Version x
ZrSi2W: relaxed, GGA-PBE.

Its space group is No. 10.

a = 3.025 Å, b = 3.491 Å, c = 6.363 Å
α = 90.00°, β = 102.33°, γ = 90.00°
Atoms (fractional coordinates):
1 Zr 0.000 0.000 0.000
2 Si 0.454 0.500 0.292
3 Si 0.546 0.500 0.708
4 W 0.000 0.000 0.500

Tell me which of them is the least stable. Sure, it is version w.

Version w
ZrSi2W: relaxed, GGA-PBE.

Its space group is No. 160.

a = 8.989 Å, b = 8.989 Å, c = 8.989 Å
α = 18.91°, β = 18.91°, γ = 18.91°
Atoms (fractional coordinates):
1 Zr 0.000 0.000 0.000
2 Si 0.492 0.492 0.492
3 Si 0.753 0.753 0.753
4 W 0.234 0.234 0.234

Version x
ZrSi2W: relaxed, GGA-PBE.

Its space group is No. 8.

a = 5.102 Å, b = 5.102 Å, c = 4.662 Å
α = 104.98°, β = 104.98°, γ = 33.06°
Atoms (fractional coordinates):
1 Zr 0.000 0.000 0.000
2 Si 0.465 0.465 0.478
3 Si 0.756 0.756 0.151
4 W 0.211 0.211 0.616

Version y
ZrSi2W: relaxed, GGA-PBE.

Its space group is No. 12.

a = 4.768 Å, b = 4.768 Å, c = 3.051 Å
α = 99.40°, β = 99.40°, γ = 103.51°
Atoms (fractional coordinates):
1 Zr 0.000 0.000 0.000
2 Si 0.000 0.500 0.500
3 Si 0.500 0.000 0.500
4 W 0.500 0.500 0.000

Tell me which of them is the least stable. Sure, it is version w.

Version w
ZrSi2W: relaxed, GGA-PBE.

Its space group is No. 99.

a = 3.385 Å, b = 3.385 Å, c = 5.666 Å
α = 90.00°, β = 90.00°, γ = 90.00°
Atoms (fractional coordinates):
1 Zr 0.000 0.000 0.000
2 Si 0.000 0.000 0.506
3 Si 0.500 0.500 0.261
4 W 0.500 0.500 0.713

Version x
ZrSi2W: relaxed, GGA-PBE.

Its space group is No. 44.

a = 5.128 Å, b = 5.128 Å, c = 5.128 Å
α = 138.84°, β = 132.71°, γ = 64.46°
Atoms (fractional coordinates):
1 Zr 0.000 0.000 0.000
2 Si 0.251 0.751 0.500
3 Si 0.501 0.501 0.000
4 W 0.742 0.242 0.500

Tell me which of them is the least stable. Sure, it is version x.